# Er8GaPd2

Er8GaPd2 after structural relaxation (PBE, the Alexandria database).

V = 571.3 Å³ per cell
energy relative to the elements = -0.45 eV/atom
D(E_F) = 0.9174 states/eV/atom
ΔE to the lowest computed polymorph = 0 kJ/mol of formula units
calculated density = 9.42 Mg/m³

Lattice parameters (Å, degrees): 17.4570 5.0397 6.7843 90.00 106.82 90.00
Last column: nearest neighbours and their distance in Å.
Space group C2/m (No. 12)
Asymmetric unit:
1 Er 0.0325 0.0000 0.2814 (multiplicity 4)  1 Pd 2.79, 2 Ga 3.06
2 Er 0.0939 0.5000 0.9637 (multiplicity 4)  1 Ga 3.10, 2 Pd 3.19, 6 Er 3.37-3.45
3 Er 0.1716 0.5000 0.4797 (multiplicity 4)  1 Pd 2.76, 1 Ga 3.04
4 Er 0.1994 0.0000 0.8211 (multiplicity 4)  1 Pd 2.78
5 Ga 0.0000 0.5000 0.5000 (multiplicity 2)  8 Er 3.04-3.10
6 Pd 0.1832 0.0000 0.2170 (multiplicity 4)  3 Er 2.76-2.79